This record from Alexandria describes a relaxed structure of Ta2BeIrCl. The functional is GGA-PBE.

total energy: -6.82 eV/atom
formation energy from raw total energies: 0.809 eV/atom
crystal system: tetragonal

Lattice parameters (Å, degrees): 4.6406 3.9160 4.6406 90.00 90.00 90.00
Fractional coordinates of all 5 atoms:
Be (0.0000, 0.0000, 0.0000)
Ta (0.5000, 0.0000, 0.0000)
Ta (0.0000, 0.0000, 0.5000)
Cl (0.5000, 0.5000, 0.5000)
Ir (0.0000, 0.5000, 0.0000)